The following is a GGA-PBE calculation of a relaxed KAgHg2Ge crystal, from Alexandria via LeMat-Bulk.

a b c (Å): 6.250 6.383 6.250
angles (deg): 90.00 90.00 90.00
Site moments in Bohr magnetons follow the coordinates.
Sites, in units of the cell vectors:
Ag: 0.500 0.500 0.500  -0.08
Hg: 0.000 0.000 0.500  0.03
Ge: 0.000 0.500 0.000  0.76
K: 0.000 0.000 0.000  0.05
Hg: 0.500 0.000 0.000  0.01

For the relative energy among the computed polymorphs, the calculation gives 0.839 eV/atom. As for the symmetry: No. 123. The calculation puts the total energy at -0.972 eV per atom. Its mass density is 4.13 g/cm³. The calculation puts the density of states at the Fermi level at 0.362 states/eV per atom. The magnetization is 2.01 μB/f.u. Its energy of formation from the pure elements is 0.8622 eV/atom.